--- w ---
The following is a DFT calculation (PBE) of an optimized crystal structure of Li2HfSi2.

abc: 6.286 6.286 6.286
angles: 145.93 145.93 48.95
Atoms (fractional coordinates):
1 Li 0.250 0.750 0.500
2 Li 0.750 0.250 0.500
3 Hf 0.000 0.000 0.000
4 Si 0.400 0.400 0.000
5 Si 0.600 0.600 0.000

Crystal system = tetragonal

--- x ---
The following is a DFT calculation (PBE) of an optimized crystal structure of Li2HfSi2.

abc: 7.216 7.216 2.957
angles: 90.00 90.00 90.00
Atoms (fractional coordinates):
1 Li 0.167 0.333 0.000
2 Li 0.333 0.833 0.000
3 Li 0.667 0.167 0.000
4 Li 0.833 0.667 0.000
5 Hf 0.000 0.000 0.500
6 Hf 0.500 0.500 0.500
7 Si 0.127 0.627 0.500
8 Si 0.373 0.127 0.500
9 Si 0.627 0.873 0.500
10 Si 0.873 0.373 0.500

Crystal system = tetragonal

Most favorable structure: w. The second most favorable one is 21.9 kJ/mol of atoms above it.

--- w ---
The following is a DFT calculation (PBE) of an optimized crystal structure of LiHfSn3.

abc: 4.907 4.907 4.907
angles: 90.00 90.00 90.00
Atoms (fractional coordinates):
1 Li 0.000 0.000 0.000
2 Hf 0.500 0.500 0.500
3 Sn 0.000 0.000 0.500
4 Sn 0.000 0.500 0.000
5 Sn 0.500 0.000 0.000

Crystal system = cubic

--- x ---
The following is a DFT calculation (PBE) of an optimized crystal structure of LiHfSn3.

abc: 5.538 5.538 5.538
angles: 90.00 90.00 90.00
Atoms (fractional coordinates):
1 Li 0.000 0.000 0.000
2 Hf 0.500 0.500 0.500
3 Sn 0.000 0.500 0.500
4 Sn 0.500 0.000 0.500
5 Sn 0.500 0.500 0.000

Crystal system = cubic

Most favorable structure: x. The second most favorable one is 22.1 kJ/mol of atoms above it.

--- w ---
The following is a DFT calculation (PBE) of an optimized crystal structure of SrLiHf3.

abc: 5.006 5.006 5.006
angles: 90.00 90.00 90.00
Atoms (fractional coordinates):
1 Sr 0.000 0.000 0.000
2 Li 0.500 0.500 0.500
3 Hf 0.000 0.500 0.500
4 Hf 0.500 0.000 0.500
5 Hf 0.500 0.500 0.000

Crystal system = cubic

--- x ---
The following is a DFT calculation (PBE) of an optimized crystal structure of SrLiHf3.

abc: 5.250 5.250 5.250
angles: 90.00 90.00 90.00
Atoms (fractional coordinates):
1 Sr 0.000 0.000 0.000
2 Li 0.500 0.500 0.500
3 Hf 0.000 0.000 0.500
4 Hf 0.000 0.500 0.000
5 Hf 0.500 0.000 0.000

Crystal system = cubic

Most favorable structure: w. The second most favorable one is 106.6 kJ/mol of atoms above it.

--- w ---
The following is a DFT calculation (PBE) of an optimized crystal structure of SrLi2Hf.

abc: 5.272 5.272 5.272
angles: 60.00 60.00 60.00
Atoms (fractional coordinates):
1 Sr 0.000 0.000 0.000
2 Li 0.250 0.250 0.250
3 Li 0.750 0.750 0.750
4 Hf 0.500 0.500 0.500

Crystal system = cubic

--- x ---
The following is a DFT calculation (PBE) of an optimized crystal structure of SrLi2Hf.

abc: 6.578 6.578 6.578
angles: 104.10 104.10 120.84
Atoms (fractional coordinates):
1 Sr 0.000 0.000 0.000
2 Sr 0.750 0.250 0.500
3 Li 0.144 0.125 0.519
4 Li 0.375 0.856 0.981
5 Li 0.606 0.625 0.481
6 Li 0.875 0.394 0.019
7 Hf 0.250 0.750 0.500
8 Hf 0.500 0.500 0.000

Crystal system = tetragonal

Most favorable structure: w. The second most favorable one is 20.9 kJ/mol of atoms above it.